VASP calculation (PBE) on crystalline Y12H5Rh3 at its relaxed geometry.

Computed properties:
Raw total energy in Ry/atom: -0.4599

Cell lengths 15.1181, 15.1181, 15.1181 Å; angles 90.00, 90.00, 90.00 degrees
Closest atoms and distances in Å follow each position.
Space group Ia-3d (No. 230)
Symmetry-distinct sites (fractional):
Y1 0.0348 0.0610 0.6553  1 H 2.18
H1 0.0000 0.0000 0.0000  6 Y 2.58
H2 0.0000 0.2500 0.3750  4 Y 2.18
Rh1 0.0000 0.2500 0.1250  8 Y 2.94-2.96